Here is U2Fe4Sn3 after structural relaxation from Alexandria via LeMat-Bulk. Energies are from PBE.

Structure (CIF):
```
data_U2Fe4Sn3
_space_group_name_H-M_alt 'P 1'
_space_group_IT_number 1
_space_group_name_Hall 'P 1'
_cell_length_a 4.839
_cell_length_b 4.839
_cell_length_c 11.292
_cell_angle_alpha 97.16
_cell_angle_beta 97.16
_cell_angle_gamma 39.38
loop_
_atom_site_label
_atom_site_type_symbol
_atom_site_fract_x
_atom_site_fract_y
_atom_site_fract_z
U1 U 0.179 0.179 0.279
U2 U 0.821 0.821 0.721
Fe1 Fe 0.231 0.231 0.584
Fe2 Fe 0.400 0.400 0.874
Fe3 Fe 0.600 0.600 0.126
Fe4 Fe 0.769 0.769 0.416
Sn1 Sn 0.127 0.127 0.914
Sn2 Sn 0.500 0.500 0.500
Sn3 Sn 0.873 0.873 0.086
```

## Properties
- symmetry = No. 12
- DFT formation energy (meV/atom) = -48
- final energy (eV/f.u.) = -68.9